Entry a
# PBE-GGA ErSc2Pa, optimized geometry
# * DOS(E_F): 7.473 states/eV/f.u.
# * magnetization: 0.0 μB per formula unit
data_ErSc2Pa
_symmetry_space_group_name_H-M 'P 1'
_symmetry_Int_Tables_number 1
_cell_length_a 3.2816
_cell_length_b 3.2816
_cell_length_c 11.1393
_cell_angle_alpha 81.53
_cell_angle_beta 81.53
_cell_angle_gamma 60.00
loop_
_symmetry_equiv_pos_as_xyz
'x,y,z'
loop_
_atom_site_label
_atom_site_fract_x
_atom_site_fract_y
_atom_site_fract_z
Pa1 0.5003 0.5003 0.4992
Sc1 0.0858 0.0858 0.7425
Sc2 0.2477 0.2477 0.2570
Er1 0.6662 0.6662 0.0013

=====

Entry b
# PBE-GGA ErSc2Pa, optimized geometry
# * DOS(E_F): 7.810 states/eV/f.u.
# * magnetization: 0.2 μB per formula unit
data_ErSc2Pa
_symmetry_space_group_name_H-M 'P 1'
_symmetry_Int_Tables_number 1
_cell_length_a 3.3046
_cell_length_b 3.3046
_cell_length_c 9.5385
_cell_angle_alpha 90.00
_cell_angle_beta 90.00
_cell_angle_gamma 90.00
loop_
_symmetry_equiv_pos_as_xyz
'x,y,z'
loop_
_atom_site_label
_atom_site_fract_x
_atom_site_fract_y
_atom_site_fract_z
Sc1 0.0000 0.0000 0.2353
Sc2 0.0000 0.0000 0.7647
Pa1 0.5000 0.5000 0.0000
Er1 0.5000 0.5000 0.5000

=====

The structure with the least stability is entry b.

=====

Entry a
# PBE-GGA ErPaSe4, optimized geometry
# * magnetization: 0.1 μB per formula unit
data_ErPaSe4
_symmetry_space_group_name_H-M 'P 1'
_symmetry_Int_Tables_number 1
_cell_length_a 4.2633
_cell_length_b 6.5858
_cell_length_c 6.5858
_cell_angle_alpha 91.10
_cell_angle_beta 90.00
_cell_angle_gamma 90.00
loop_
_symmetry_equiv_pos_as_xyz
'x,y,z'
loop_
_atom_site_label
_atom_site_fract_x
_atom_site_fract_y
_atom_site_fract_z
Se1 0.0000 0.2010 0.2010
Se2 0.0000 0.7990 0.7990
Se3 0.5000 0.3077 0.6923
Se4 0.5000 0.6923 0.3077
Er1 0.5000 0.0000 0.0000
Pa1 0.0000 0.5000 0.5000

=====

Entry b
# PBE-GGA ErPaSe4, optimized geometry
# * magnetization: 0.0 μB per formula unit
data_ErPaSe4
_symmetry_space_group_name_H-M 'P 1'
_symmetry_Int_Tables_number 1
_cell_length_a 4.1748
_cell_length_b 7.9654
_cell_length_c 7.0627
_cell_angle_alpha 115.47
_cell_angle_beta 90.00
_cell_angle_gamma 105.19
loop_
_symmetry_equiv_pos_as_xyz
'x,y,z'
loop_
_atom_site_label
_atom_site_fract_x
_atom_site_fract_y
_atom_site_fract_z
Se1 0.3887 0.7775 0.7348
Se2 0.8905 0.7810 0.2194
Se3 0.6113 0.2225 0.2652
Se4 0.1095 0.2190 0.7806
Er1 0.5000 0.0000 0.5000
Pa1 0.0000 0.0000 0.0000

=====

The structure with the least stability is entry a.

=====

Entry a
# PBE-GGA ErPa2Se6, optimized geometry
# * DOS(E_F): 6.700 states/eV/f.u.
# * magnetization: 1.1 μB per formula unit
data_ErPa2Se6
_symmetry_space_group_name_H-M 'P 1'
_symmetry_Int_Tables_number 1
_cell_length_a 6.6682
_cell_length_b 6.6682
_cell_length_c 12.6386
_cell_angle_alpha 90.00
_cell_angle_beta 90.00
_cell_angle_gamma 90.00
loop_
_symmetry_equiv_pos_as_xyz
'x,y,z'
loop_
_atom_site_label
_atom_site_fract_x
_atom_site_fract_y
_atom_site_fract_z
Se1 0.1987 0.8013 0.1678
Se2 0.3043 0.3043 0.0000
Se3 0.6987 0.6987 0.3322
Se4 0.6987 0.6987 0.6678
Se5 0.1987 0.8013 0.8322
Se6 0.6957 0.6957 0.0000
Se7 0.8013 0.1987 0.1678
Se8 0.3013 0.3013 0.6678
Se9 0.8043 0.1957 0.5000
Se10 0.3013 0.3013 0.3322
Se11 0.1957 0.8043 0.5000
Se12 0.8013 0.1987 0.8322
Pa1 0.0000 0.0000 0.6669
Pa2 0.5000 0.5000 0.1669
Pa3 0.0000 0.0000 0.3331
Pa4 0.5000 0.5000 0.8331
Er1 0.5000 0.5000 0.5000
Er2 0.0000 0.0000 0.0000

=====

Entry b
# PBE-GGA ErPa2Se6, optimized geometry
# * DOS(E_F): 7.697 states/eV/f.u.
# * magnetization: 1.1 μB per formula unit
data_ErPa2Se6
_symmetry_space_group_name_H-M 'P 1'
_symmetry_Int_Tables_number 1
_cell_length_a 4.1663
_cell_length_b 8.4435
_cell_length_c 9.3025
_cell_angle_alpha 103.95
_cell_angle_beta 102.94
_cell_angle_gamma 90.00
loop_
_symmetry_equiv_pos_as_xyz
'x,y,z'
loop_
_atom_site_label
_atom_site_fract_x
_atom_site_fract_y
_atom_site_fract_z
Pa1 0.8362 0.6748 0.6725
Pa2 0.1638 0.3252 0.3275
Se1 0.9925 0.7650 0.9851
Se2 0.3266 0.4392 0.6533
Se3 0.3368 0.9004 0.6736
Se4 0.0075 0.2350 0.0149
Se5 0.6734 0.5608 0.3467
Se6 0.6632 0.0996 0.3264
Er1 0.5000 0.0000 0.0000

=====

The structure with the least stability is entry a.

=====

Entry a
# PBE-GGA ErPaSe2, optimized geometry
# * DOS(E_F): 5.655 states/eV/f.u.
# * magnetization: 1.0 μB per formula unit
data_ErPaSe2
_symmetry_space_group_name_H-M 'P 1'
_symmetry_Int_Tables_number 1
_cell_length_a 3.5453
_cell_length_b 4.9677
_cell_length_c 4.9677
_cell_angle_alpha 90.00
_cell_angle_beta 90.00
_cell_angle_gamma 90.00
loop_
_symmetry_equiv_pos_as_xyz
'x,y,z'
loop_
_atom_site_label
_atom_site_fract_x
_atom_site_fract_y
_atom_site_fract_z
Se1 0.0000 0.5000 0.0000
Se2 0.0000 0.0000 0.5000
Er1 0.5000 0.0000 0.0000
Pa1 0.5000 0.5000 0.5000

=====

Entry b
# PBE-GGA ErPaSe2, optimized geometry
# * DOS(E_F): 4.506 states/eV/f.u.
# * magnetization: 0.2 μB per formula unit
data_ErPaSe2
_symmetry_space_group_name_H-M 'P 1'
_symmetry_Int_Tables_number 1
_cell_length_a 3.9723
_cell_length_b 3.9723
_cell_length_c 20.6471
_cell_angle_alpha 90.00
_cell_angle_beta 90.00
_cell_angle_gamma 120.00
loop_
_symmetry_equiv_pos_as_xyz
'x,y,z'
loop_
_atom_site_label
_atom_site_fract_x
_atom_site_fract_y
_atom_site_fract_z
Pa1 0.6667 0.3333 0.8315
Pa2 0.3333 0.6667 0.1685
Pa3 0.0000 0.0000 0.0000
Er1 0.3333 0.6667 0.6653
Er2 0.0000 0.0000 0.5000
Er3 0.6667 0.3333 0.3347
Se1 0.3333 0.6667 0.4182
Se2 0.3333 0.6667 0.9159
Se3 0.0000 0.0000 0.7445
Se4 0.0000 0.0000 0.2555
Se5 0.6667 0.3333 0.5818
Se6 0.6667 0.3333 0.0841

=====

Entry c
# PBE-GGA ErPaSe2, optimized geometry
# * DOS(E_F): 5.542 states/eV/f.u.
# * magnetization: 1.4 μB per formula unit
data_ErPaSe2
_symmetry_space_group_name_H-M 'P 1'
_symmetry_Int_Tables_number 1
_cell_length_a 3.8536
_cell_length_b 3.8536
_cell_length_c 9.5041
_cell_angle_alpha 78.30
_cell_angle_beta 78.30
_cell_angle_gamma 60.00
loop_
_symmetry_equiv_pos_as_xyz
'x,y,z'
loop_
_atom_site_label
_atom_site_fract_x
_atom_site_fract_y
_atom_site_fract_z
Er1 0.0000 0.0000 0.0000
Se1 0.1000 0.1000 0.6999
Se2 0.9000 0.9000 0.3001
Pa1 0.5000 0.5000 0.5000

=====

Entry d
# PBE-GGA ErPaSe2, optimized geometry
# * DOS(E_F): 4.578 states/eV/f.u.
# * magnetization: 0.0 μB per formula unit
data_ErPaSe2
_symmetry_space_group_name_H-M 'P 1'
_symmetry_Int_Tables_number 1
_cell_length_a 3.7580
_cell_length_b 3.7580
_cell_length_c 7.9835
_cell_angle_alpha 76.39
_cell_angle_beta 76.39
_cell_angle_gamma 60.00
loop_
_symmetry_equiv_pos_as_xyz
'x,y,z'
loop_
_atom_site_label
_atom_site_fract_x
_atom_site_fract_y
_atom_site_fract_z
Se1 0.2475 0.2475 0.2576
Se2 0.0861 0.0861 0.7418
Er1 0.4982 0.4982 0.5054
Pa1 0.6683 0.6683 0.9951

=====

The structure with the least stability is entry c.